Compound: Mn4BiO8
Source: Alexandria
Functional: GGA+U
Structure: optimized geometry

Properties
V = 181.78 Å³/f.u.
total DFT energy (no corrections) = -91.594 eV for the cell shown

a = 6.256 Å, b = 6.256 Å, c = 7.433 Å
α = 125.25°, β = 125.25°, γ = 55.52°
Element x y z (fractional)
Mn 0.231 0.231 0.967
Mn 0.247 0.753 0.000
Mn 0.753 0.247 0.000
Mn 0.769 0.769 0.033
Bi 0.500 0.500 0.500
O 0.003 0.003 0.828
O 0.040 0.513 0.200
O 0.486 0.486 0.162
O 0.487 0.960 0.800
O 0.513 0.040 0.200
O 0.514 0.514 0.838
O 0.960 0.487 0.800
O 0.997 0.997 0.172